Material: CaSbAu
Method: DFT, meta-GGA SCAN
State: single point on PBEsol structure

a = 4.220 Å, b = 4.554 Å, c = 4.554 Å
α = 120.00°, β = 90.00°, γ = 90.00°
Sites, in units of the cell vectors:
Sb 0.196 0.667 0.333
Au 0.126 0.000 0.000
Ca 0.678 0.333 0.667

Output
- DFT total energy: -39.644 eV per atom
- Space group: No. 156

Material: FeSnH12O6F6
Method: DFT, meta-GGA SCAN
State: single point on PBEsol structure

a = 6.506 Å, b = 6.506 Å, c = 6.506 Å
α = 96.32°, β = 96.32°, γ = 96.32°
Sites, in units of the cell vectors:
O 0.209 0.563 0.380
H 0.897 0.545 0.703
F 0.065 0.731 0.850
O 0.380 0.209 0.563
H 0.666 0.811 0.300
H 0.103 0.455 0.297
H 0.334 0.189 0.700
H 0.189 0.700 0.334
F 0.150 0.935 0.269
H 0.700 0.334 0.189
H 0.703 0.897 0.545
F 0.935 0.269 0.150
H 0.545 0.703 0.897
O 0.620 0.791 0.437
Sn 0.000 0.000 0.000
H 0.455 0.297 0.103
H 0.297 0.103 0.455
O 0.563 0.380 0.209
F 0.731 0.850 0.065
Fe 0.500 0.500 0.500
F 0.850 0.065 0.731
O 0.791 0.437 0.620
H 0.811 0.300 0.666
H 0.300 0.666 0.811
O 0.437 0.620 0.791
F 0.269 0.150 0.935

Output
- DFT total energy: -7.441 eV per atom
- Space group: No. 148

Material: LiCdPt2
Method: DFT, meta-GGA SCAN
State: single point on PBEsol structure

a = 2.984 Å, b = 2.984 Å, c = 6.565 Å
α = 90.00°, β = 90.00°, γ = 90.00°
Sites, in units of the cell vectors:
Pt 0.000 0.000 0.717
Pt 0.000 0.000 0.283
Cd 0.500 0.500 0.000
Li 0.500 0.500 0.500

Output
- Space group: No. 123
- Formation enthalpy at 0 K: -0.423 eV/atom

Material: CoMo2Ir
Method: DFT, meta-GGA SCAN
State: single point on PBEsol structure

a = 2.717 Å, b = 4.574 Å, c = 4.683 Å
α = 100.12°, β = 106.86°, γ = 90.00°
Sites, in units of the cell vectors:
Mo 0.247 0.245 0.494
Mo 0.753 0.755 0.506
Ir 0.000 0.500 0.000
Co 0.500 0.000 0.000

Output
- Space group: No. 12
- Formation enthalpy at 0 K: 0.122 eV/atom
- Energy relative to the lowest polymorph listed for this composition: 240.9 meV/atom

Material: CuRu2Br
Method: DFT, meta-GGA SCAN
State: single point on PBEsol structure

a = 2.767 Å, b = 2.767 Å, c = 8.715 Å
α = 90.00°, β = 90.00°, γ = 119.17°
Sites, in units of the cell vectors:
Ru 0.000 0.000 0.241
Br 0.500 0.500 0.500
Ru 0.000 0.000 0.759
Cu 0.500 0.500 0.000

Output
- Space group: No. 65
- Energy relative to the lowest polymorph listed for this composition: 166.3 meV/atom

Material: SrScFe2P
Method: DFT, meta-GGA SCAN
State: single point on PBEsol structure

a = 4.646 Å, b = 4.646 Å, c = 5.002 Å
α = 90.00°, β = 90.00°, γ = 90.00°
Sites, in units of the cell vectors:
Sc 0.000 0.000 0.000
Fe 0.000 0.500 0.000
P 0.000 0.000 0.500
Fe 0.500 0.000 0.000
Sr 0.500 0.500 0.500

Output
- Space group: No. 123
- Formation enthalpy at 0 K: 0.459 eV/atom

Material: LiMg2Al
Method: DFT, meta-GGA SCAN
State: single point on PBEsol structure

a = 3.228 Å, b = 3.228 Å, c = 7.256 Å
α = 90.00°, β = 90.00°, γ = 90.00°
Sites, in units of the cell vectors:
Al 0.000 0.000 0.524
Li 0.500 0.500 0.729
Mg 0.000 0.000 0.978
Mg 0.500 0.500 0.269

Output
- Space group: No. 99
- Formation enthalpy at 0 K: -0.021 eV/atom

Material: NiRh2
Method: DFT, meta-GGA SCAN
State: single point on PBEsol structure

a = 2.659 Å, b = 4.959 Å, c = 6.158 Å
α = 104.77°, β = 90.00°, γ = 105.55°
Sites, in units of the cell vectors:
Ni 0.028 0.056 0.807
Rh 0.311 0.623 0.868
Rh 0.638 0.275 0.530
Ni 0.972 0.944 0.193
Rh 0.689 0.377 0.132
Rh 0.362 0.725 0.470

Output
- Space group: No. 12
- Formation enthalpy at 0 K: 0.064 eV/atom
- Energy relative to the lowest polymorph listed for this composition: 26.5 meV/atom

Material: Sr3CdC
Method: DFT, meta-GGA SCAN
State: single point on PBEsol structure

a = 6.148 Å, b = 6.148 Å, c = 6.148 Å
α = 90.00°, β = 90.00°, γ = 90.00°
Sites, in units of the cell vectors:
Cd 0.000 0.000 0.000
Sr 0.000 0.000 0.500
Sr 0.000 0.500 0.000
Sr 0.500 0.000 0.000
C 0.500 0.500 0.500

Output
- Space group: No. 221
- Formation enthalpy at 0 K: 1.170 eV/atom

Material: YGa2Ag2
Method: DFT, meta-GGA SCAN
State: single point on PBEsol structure

a = 4.230 Å, b = 4.230 Å, c = 6.083 Å
α = 110.35°, β = 110.35°, γ = 90.00°
Sites, in units of the cell vectors:
Ga 0.388 0.388 0.776
Ag 0.250 0.750 0.500
Y 0.000 0.000 0.000
Ga 0.612 0.612 0.224
Ag 0.750 0.250 0.500

Output
- Space group: No. 139
- Formation enthalpy at 0 K: -0.454 eV/atom

Material: TlPPt
Method: DFT, meta-GGA SCAN
State: single point on PBEsol structure

a = 3.527 Å, b = 3.527 Å, c = 5.605 Å
α = 90.00°, β = 90.00°, γ = 120.00°
Sites, in units of the cell vectors:
P 0.000 0.000 0.926
Pt 0.333 0.667 0.732
Tl 0.667 0.333 0.342

Output
- Space group: No. 156
- Formation enthalpy at 0 K: -0.192 eV/atom

Material: LiAlCr
Method: DFT, meta-GGA SCAN
State: single point on PBEsol structure

a = 2.528 Å, b = 2.528 Å, c = 6.643 Å
α = 98.66°, β = 98.66°, γ = 102.05°
Sites, in units of the cell vectors:
Cr 0.340 0.340 0.680
Al 0.992 0.992 0.984
Li 0.668 0.668 0.336

Output
- Space group: No. 42
- Formation enthalpy at 0 K: 0.225 eV/atom
- Energy relative to the lowest polymorph listed for this composition: 180.9 meV/atom